Density functional theory data (PBE) for a relaxed structure of Mn3AuS.

abc: 4.9177 4.9177 4.9177
angles: 90.00 90.00 90.00
Closest atoms and distances in Å follow each position.
Fractional positions:
Mn  0.5000  0.0000  0.0000  2 Au 2.46
Mn  0.0000  0.0000  0.5000  2 Au 2.46
Mn  0.0000  0.5000  0.0000  2 Au 2.46
S  0.5000  0.5000  0.5000  12 Mn 3.48
Au  0.0000  0.0000  0.0000  6 Mn 2.46

Properties
- formation energy without anion corrections (eV/atom) = 0.892
- magnetic moment (Bohr magnetons per cell) = 12.92
- symmetry = No. 221